# Dy3YHo6Er2

A relaxed structure of Dy3YHo6Er2 (GGA-PBE, Alexandria).

Computed properties:
* crystal system: monoclinic
* E: -113.2 eV/cell

Structure (CIF):
```
data_Dy3YHo6Er2
_symmetry_space_group_name_H-M 'C 1 2/m 1'
_symmetry_Int_Tables_number 12
_cell_length_a 6.116
_cell_length_b 10.581
_cell_length_c 11.697
_cell_angle_alpha 90.00
_cell_angle_beta 99.99
_cell_angle_gamma 90.00
loop_
_symmetry_equiv_pos_as_xyz
'x,y,z'
'-x,-y,-z'
'-x,y,-z'
'x,-y,z'
'x+1/2,y+1/2,z'
'-x+1/2,-y+1/2,-z'
'-x+1/2,y+1/2,-z'
'x+1/2,-y+1/2,z'
loop_
_atom_site_label
_atom_site_type_symbol
_atom_site_fract_x
_atom_site_fract_y
_atom_site_fract_z
_atom_site_occupancy
Dy1 Dy 0.000 0.000 0.000 1
Dy2 Dy 0.000 0.333 0.000 1
Y1 Y 0.000 0.500 0.500 1
Ho1 Ho 0.249 0.000 0.750 1
Ho2 Ho 0.249 0.167 0.250 1
Er1 Er 0.000 0.167 0.500 1
```